The following is a PBE with a Hubbard U calculation of SrCdMoF2 after structural relaxation, from Alexandria via LeMat-Bulk.

Computed properties:
For the calculated total energy, the calculation gives -4.078 eV/atom. Its density is 3.3 g/cm3.

Unit cell a=4.5574 b=8.0255 c=4.5574 alpha=90.00 beta=90.00 gamma=90.00
Atoms (fractional coordinates):
Cd: 0.5000 0.5000 0.5000
F: 0.0000 0.0000 0.5000
F: 0.5000 0.0000 0.0000
Mo: 0.0000 0.5000 0.0000
Sr: 0.0000 0.0000 0.0000